Entry 1:
This record from Alexandria describes a relaxed Rb2FeBr crystal. The functional is GGA-PBE.

extended XYZ file:
```
4
Lattice="0.0000 4.3115 4.3115 4.3115 0.0000 4.3115 4.3115 4.3115 0.0000" Properties=species:S:1:pos:R:3 pbc="T T T"
Br 4.3115 4.3115 4.3115
Rb 2.1557 2.1557 2.1557
Rb 6.4672 6.4672 6.4672
Fe 0.0000 0.0000 0.0000
```

Summary:
* calculated total energy: -0.215 Ry/atom
* DOS at the Fermi energy: 16.0 states/eV/cell
* size of the total moment: 3.00 μB per formula unit


Entry 2:
This record from Alexandria describes a relaxed Sn3Pd7S2 crystal. The functional is GGA-PBE.

extended XYZ file:
```
12
Lattice="-3.3498 0.8512 -1.4294 1.3068 -1.0912 -3.7124 -5.3898 -13.8086 4.4081" Properties=species:S:1:pos:R:3 pbc="T T T"
Sn -1.0215 -0.1200 -2.5709
Sn -2.9763 -6.0444 -1.5177
Sn -4.4565 -8.0043 0.7840
Pd -4.1390 -12.5436 2.2300
Pd -2.0289 -8.6747 -0.4110
Pd 0.0000 0.0000 0.0000
Pd 0.0560 -2.3562 -1.5343
Pd -3.0649 -3.7870 0.0342
Pd -4.3678 -10.2616 -0.7680
Pd -2.0541 -6.2251 1.1067
S -3.1228 -11.9899 0.1783
S -0.9602 -2.9099 0.5173
```

Summary:
* calculated total energy: -0.374 Ry/atom
* DOS at the Fermi energy: 3.7 states/eV/cell
* size of the total moment: 0.00 μB per formula unit


Entry 3:
This record from Alexandria describes a relaxed SmMgScAl crystal. The functional is GGA-PBE.

extended XYZ file:
```
4
Lattice="-4.7683 -1.6420 -0.7797 -1.6843 -4.1775 2.3986 -3.4803 0.4159 3.7089" Properties=species:S:1:pos:R:3 pbc="T T T"
Sc 0.0000 0.0000 0.0000
Mg -7.4497 -4.0527 3.9958
Al -2.4832 -1.3509 1.3319
Sm -4.9665 -2.7018 2.6639
```

Summary:
* energy relative to the elements: -1.06 eV/f.u.
* DOS at the Fermi energy: 2.4 states/eV/cell
* size of the total moment: 0.00 μB per formula unit